*a*
Material: LuSc2Al
Method: DFT, PBE-GGA
State: relaxed

a = 3.299 Å, b = 3.299 Å, c = 8.556 Å
α = 90.00°, β = 90.00°, γ = 90.00°
Atoms (fractional coordinates):
Sc  0.000  0.000  0.786
Sc  0.000  0.000  0.214
Al  0.500  0.500  0.000
Lu  0.500  0.500  0.500

***

*b*
Material: LuSc2Al
Method: DFT, PBE-GGA
State: relaxed

a = 4.527 Å, b = 4.485 Å, c = 4.485 Å
α = 90.00°, β = 90.00°, γ = 90.00°
Atoms (fractional coordinates):
Al  0.500  0.000  0.000
Sc  0.000  0.000  0.500
Sc  0.000  0.500  0.000
Lu  0.500  0.500  0.500

***

Going by the energies, *b* is most stable and the next is 15 meV per atom up.

***

*a*
Material: Lu2ScAl
Method: DFT, PBE-GGA
State: relaxed

a = 4.524 Å, b = 4.604 Å, c = 4.604 Å
α = 90.00°, β = 90.00°, γ = 90.00°
Atoms (fractional coordinates):
Lu  0.000  0.000  0.500
Lu  0.000  0.500  0.000
Sc  0.500  0.000  0.000
Al  0.500  0.500  0.500

***

*b*
Material: Lu2ScAl
Method: DFT, PBE-GGA
State: relaxed

a = 5.147 Å, b = 5.147 Å, c = 5.147 Å
α = 60.00°, β = 60.00°, γ = 60.00°
Atoms (fractional coordinates):
Lu  0.750  0.750  0.750
Lu  0.250  0.250  0.250
Sc  0.500  0.500  0.500
Al  0.000  0.000  0.000

***

Going by the energies, *a* is most stable and the next is 107 meV per atom up.